The following is a DFT calculation (GGA-PBE) of crystalline NpHCl4 at its relaxed geometry.

```
NpHCl4
1.0
-2.042 6.835 2.652
-5.997 -2.139 0.901
5.430 -2.868 6.178
Np Cl H
2 8 2
direct
0.000 0.000 0.500
0.500 0.500 0.500
0.064 0.340 0.768
0.436 0.569 0.231
0.564 0.431 0.769
0.214 0.185 0.365
0.786 0.815 0.635
0.936 0.660 0.232
0.714 0.179 0.365
0.286 0.821 0.635
0.250 0.772 0.998
0.750 0.228 0.002
```

Output
space group = No. 2
calculated volume = 32.07 Å³ per atom
ρ = 3.3 Mg/m³
total energy = -58.769 eV/cell

The following is a DFT calculation (GGA-PBE) of crystalline NpHCl5 at its relaxed geometry.

```
NpHCl5
1.0
-7.249 -0.629 2.048
2.333 -2.384 -6.783
-1.505 -9.826 0.319
Cl Np H
10 2 2
direct
0.742 0.547 0.574
0.654 0.953 0.655
0.346 0.047 0.345
0.082 0.918 0.750
0.918 0.082 0.250
0.547 0.742 0.074
0.047 0.346 0.845
0.258 0.453 0.426
0.453 0.258 0.926
0.953 0.654 0.155
0.000 0.000 0.000
0.000 0.000 0.500
0.408 0.592 0.250
0.592 0.408 0.750
```

Output
space group = No. 15
calculated volume = 30.59 Å³ per atom
ρ = 3.2 Mg/m³
total energy = -68.716 eV/cell

The following is a DFT calculation (GGA-PBE) of crystalline NpH2Cl at its relaxed geometry.

```
NpH2Cl
1.0
-2.366 -2.112 2.016
1.052 -3.416 1.160
1.223 -0.022 4.915
Np H Cl
1 2 1
direct
0.500 0.500 0.500
0.801 0.801 0.597
0.199 0.199 0.403
0.000 0.000 0.000
```

Output
space group = No. 166
calculated volume = 13.99 Å³ per atom
ρ = 8.1 Mg/m³
total energy = -24.004 eV/cell

The following is a DFT calculation (GGA-PBE) of crystalline NpHCl2 at its relaxed geometry.

```
NpHCl2
1.0
3.727 0.002 0.838
1.767 3.282 0.838
0.215 0.128 7.344
Np H Cl
1 1 2
direct
0.458 0.458 0.625
0.792 0.792 0.625
0.206 0.206 0.370
0.044 0.044 0.880
```

Output
space group = No. 8
calculated volume = 22.25 Å³ per atom
ρ = 5.8 Mg/m³
total energy = -25.013 eV/cell